(1)
First-principles (PBE) data for crystalline Sc3ReN at its relaxed geometry, as listed in the Alexandria database.

Geometry as POSCAR:
```
Sc3ReN
1.0
4.961 0.000 0.000
0.000 4.961 0.000
0.000 0.000 4.961
Sc Re N
3 1 1
direct
0.000 0.000 0.500 Sc
0.000 0.500 0.000 Sc
0.500 0.000 0.000 Sc
0.000 0.000 0.000 Re
0.500 0.500 0.500 N
```

Results
Magnetization   0.000 μB/atom
Excess energy over the best structure of this formula in the dataset   1828 meV/atom
Formation energy without anion corrections   113.7 kJ per mole of atoms
Space-group type   Pm-3m
DOS at the Fermi energy   1.63 states/eV/atom


(2)
First-principles (PBE) data for crystalline Sc2ReN at its relaxed geometry, as listed in the Alexandria database.

Geometry as POSCAR:
```
Sc2ReN
1.0
3.276 0.000 0.000
-1.638 2.837 0.000
0.000 0.000 23.958
Sc Re N
6 3 3
direct
0.000 0.000 0.081 Sc
0.000 0.000 0.919 Sc
0.333 0.667 0.586 Sc
0.333 0.667 0.748 Sc
0.667 0.333 0.252 Sc
0.667 0.333 0.414 Sc
0.000 0.000 0.500 Re
0.333 0.667 0.167 Re
0.667 0.333 0.833 Re
0.000 0.000 0.000 N
0.333 0.667 0.667 N
0.667 0.333 0.333 N
```

Results
Magnetization   0.053 μB/atom
Formation energy without anion corrections   41.7 kJ per mole of atoms
Space-group type   R-3m
DOS at the Fermi energy   1.12 states/eV/atom


(3)
First-principles (PBE) data for crystalline ScRe2N at its relaxed geometry, as listed in the Alexandria database.

Geometry as POSCAR:
```
ScRe2N
1.0
6.980 0.000 0.000
0.000 6.980 0.000
0.000 0.000 4.654
Sc Re N
4 8 4
direct
0.000 0.000 0.000 Sc
0.000 0.500 0.250 Sc
0.500 0.000 0.750 Sc
0.500 0.500 0.500 Sc
0.135 0.250 0.625 Re
0.250 0.635 0.875 Re
0.250 0.865 0.375 Re
0.365 0.250 0.125 Re
0.635 0.750 0.125 Re
0.750 0.135 0.375 Re
0.750 0.365 0.875 Re
0.865 0.750 0.625 Re
0.000 0.000 0.500 N
0.000 0.500 0.750 N
0.500 0.000 0.250 N
0.500 0.500 0.000 N
```

Results
Magnetization   0.000 μB/atom
Formation energy without anion corrections   -1.3 kJ per mole of atoms
Space-group type   I-42d
DOS at the Fermi energy   0.59 states/eV/atom


(4)
First-principles (PBE) data for crystalline ScReN2 at its relaxed geometry, as listed in the Alexandria database.

Geometry as POSCAR:
```
ScReN2
1.0
3.173 0.000 0.000
-1.586 2.747 0.000
0.000 0.000 18.141
Sc Re N
3 3 6
direct
0.000 0.000 0.000 Sc
0.333 0.667 0.667 Sc
0.667 0.333 0.333 Sc
0.000 0.000 0.500 Re
0.333 0.667 0.167 Re
0.667 0.333 0.833 Re
0.000 0.000 0.398 N
0.000 0.000 0.602 N
0.333 0.667 0.064 N
0.333 0.667 0.269 N
0.667 0.333 0.731 N
0.667 0.333 0.936 N
```

Results
Magnetization   0.000 μB/atom
Excess energy over the best structure of this formula in the dataset   91 meV/atom
Formation energy without anion corrections   -49.4 kJ per mole of atoms
Space-group type   R-3m
DOS at the Fermi energy   0.31 states/eV/atom


(5)
First-principles (PBE) data for crystalline Sc2Re4N at its relaxed geometry, as listed in the Alexandria database.

Geometry as POSCAR:
```
Sc2Re4N
1.0
4.039 0.000 0.000
0.000 4.039 0.000
0.000 0.000 14.196
Sc Re N
4 8 2
direct
0.000 0.000 0.155 Sc
0.000 0.000 0.845 Sc
0.500 0.500 0.345 Sc
0.500 0.500 0.655 Sc
0.000 0.000 0.354 Re
0.000 0.000 0.646 Re
0.000 0.500 0.000 Re
0.000 0.500 0.500 Re
0.500 0.000 0.000 Re
0.500 0.000 0.500 Re
0.500 0.500 0.146 Re
0.500 0.500 0.854 Re
0.000 0.000 0.500 N
0.500 0.500 0.000 N
```

Results
Magnetization   0.000 μB/atom
Formation energy without anion corrections   47.1 kJ per mole of atoms
Space-group type   I4/mmm
DOS at the Fermi energy   1.08 states/eV/atom


(6)
First-principles (PBE) data for crystalline Sc3ReN at its relaxed geometry, as listed in the Alexandria database.

Geometry as POSCAR:
```
Sc3ReN
1.0
4.355 0.000 0.000
0.000 4.355 0.000
0.000 0.000 4.355
Sc Re N
3 1 1
direct
0.000 0.000 0.500 Sc
0.000 0.500 0.000 Sc
0.500 0.000 0.000 Sc
0.500 0.500 0.500 Re
0.000 0.000 0.000 N
```

Results
Magnetization   0.000 μB/atom
Excess energy over the best structure of this formula in the dataset   0 meV/atom
Formation energy without anion corrections   -62.6 kJ per mole of atoms
Space-group type   Pm-3m
DOS at the Fermi energy   0.53 states/eV/atom


(7)
First-principles (PBE) data for crystalline ScReN2 at its relaxed geometry, as listed in the Alexandria database.

Geometry as POSCAR:
```
ScReN2
1.0
5.406 0.000 0.000
0.000 5.406 0.000
0.000 0.000 5.406
Sc Re N
4 4 8
direct
0.000 0.000 0.000 Sc
0.000 0.500 0.500 Sc
0.500 0.000 0.500 Sc
0.500 0.500 0.000 Sc
0.000 0.000 0.500 Re
0.000 0.500 0.000 Re
0.500 0.000 0.000 Re
0.500 0.500 0.500 Re
0.250 0.250 0.250 N
0.250 0.250 0.750 N
0.250 0.750 0.250 N
0.250 0.750 0.750 N
0.750 0.250 0.250 N
0.750 0.250 0.750 N
0.750 0.750 0.250 N
0.750 0.750 0.750 N
```

Results
Magnetization   0.000 μB/atom
Excess energy over the best structure of this formula in the dataset   362 meV/atom
Formation energy without anion corrections   -23.3 kJ per mole of atoms
Space-group type   Fm-3m
DOS at the Fermi energy   0.00 states/eV/atom


(8)
First-principles (PBE) data for crystalline ScReN2 at its relaxed geometry, as listed in the Alexandria database.

Geometry as POSCAR:
```
ScReN2
1.0
4.625 0.000 0.000
0.000 4.625 0.000
0.000 0.000 9.976
Sc Re N
4 4 8
direct
0.000 0.000 0.000 Sc
0.000 0.500 0.250 Sc
0.500 0.000 0.750 Sc
0.500 0.500 0.500 Sc
0.000 0.000 0.500 Re
0.000 0.500 0.750 Re
0.500 0.000 0.250 Re
0.500 0.500 0.000 Re
0.212 0.250 0.625 N
0.250 0.712 0.875 N
0.250 0.788 0.375 N
0.288 0.250 0.125 N
0.712 0.750 0.125 N
0.750 0.212 0.375 N
0.750 0.288 0.875 N
0.788 0.750 0.625 N
```

Results
Magnetization   0.000 μB/atom
Excess energy over the best structure of this formula in the dataset   0 meV/atom
Formation energy without anion corrections   -58.2 kJ per mole of atoms
Space-group type   I-42d
DOS at the Fermi energy   0.57 states/eV/atom


(9)
First-principles (PBE) data for crystalline Sc4Re2N at its relaxed geometry, as listed in the Alexandria database.

Geometry as POSCAR:
```
Sc4Re2N
1.0
4.177 0.000 0.000
0.000 4.177 0.000
0.000 0.000 14.477
Sc Re N
8 4 2
direct
0.000 0.000 0.158 Sc
0.000 0.000 0.842 Sc
0.000 0.500 0.000 Sc
0.000 0.500 0.500 Sc
0.500 0.000 0.000 Sc
0.500 0.000 0.500 Sc
0.500 0.500 0.342 Sc
0.500 0.500 0.658 Sc
0.000 0.000 0.349 Re
0.000 0.000 0.651 Re
0.500 0.500 0.151 Re
0.500 0.500 0.849 Re
0.000 0.000 0.000 N
0.500 0.500 0.500 N
```

Results
Magnetization   0.000 μB/atom
Formation energy without anion corrections   -5.3 kJ per mole of atoms
Space-group type   I4/mmm
DOS at the Fermi energy   1.10 states/eV/atom


(10)
First-principles (PBE) data for crystalline ScReN3 at its relaxed geometry, as listed in the Alexandria database.

Geometry as POSCAR:
```
ScReN3
1.0
5.563 -4.687 0.000
5.563 4.687 0.000
-2.572 0.000 5.458
Sc Re N
4 4 12
direct
0.093 0.907 0.750 Sc
0.263 0.737 0.250 Sc
0.737 0.263 0.750 Sc
0.907 0.093 0.250 Sc
0.209 0.380 0.809 Re
0.380 0.209 0.309 Re
0.620 0.791 0.691 Re
0.791 0.620 0.191 Re
0.013 0.207 0.666 N
0.135 0.632 0.826 N
0.207 0.013 0.166 N
0.304 0.402 0.143 N
0.368 0.865 0.674 N
0.402 0.304 0.643 N
0.598 0.696 0.357 N
0.632 0.135 0.326 N
0.696 0.598 0.857 N
0.793 0.987 0.834 N
0.865 0.368 0.174 N
0.987 0.793 0.334 N
```

Results
Magnetization   0.000 μB/atom
Formation energy without anion corrections   -60.6 kJ per mole of atoms
Space-group type   C2/c
DOS at the Fermi energy   0.46 states/eV/atom


(11)
First-principles (PBE) data for crystalline Sc2ReN at its relaxed geometry, as listed in the Alexandria database.

Geometry as POSCAR:
```
Sc2ReN
1.0
6.200 0.000 0.000
0.000 6.200 0.000
0.000 0.000 7.259
Sc Re N
8 4 4
direct
0.162 0.250 0.125 Sc
0.250 0.662 0.375 Sc
0.250 0.838 0.875 Sc
0.338 0.250 0.625 Sc
0.662 0.750 0.625 Sc
0.750 0.162 0.875 Sc
0.750 0.338 0.375 Sc
0.838 0.750 0.125 Sc
0.000 0.000 0.500 Re
0.000 0.500 0.750 Re
0.500 0.000 0.250 Re
0.500 0.500 0.000 Re
0.000 0.000 0.000 N
0.000 0.500 0.250 N
0.500 0.000 0.750 N
0.500 0.500 0.500 N
```

Results
Magnetization   0.000 μB/atom
Formation energy without anion corrections   1.7 kJ per mole of atoms
Space-group type   I-42d
DOS at the Fermi energy   0.29 states/eV/atom


(12)
First-principles (PBE) data for crystalline Sc2ReN at its relaxed geometry, as listed in the Alexandria database.

Geometry as POSCAR:
```
Sc2ReN
1.0
3.019 0.000 0.000
-1.509 2.614 0.000
0.000 0.000 23.456
Sc Re N
6 3 3
direct
0.000 0.000 0.112 Sc
0.000 0.000 0.888 Sc
0.333 0.667 0.554 Sc
0.333 0.667 0.779 Sc
0.667 0.333 0.221 Sc
0.667 0.333 0.446 Sc
0.000 0.000 0.000 Re
0.333 0.667 0.667 Re
0.667 0.333 0.333 Re
0.000 0.000 0.500 N
0.333 0.667 0.167 N
0.667 0.333 0.833 N
```

Results
Magnetization   0.000 μB/atom
Formation energy without anion corrections   -47.8 kJ per mole of atoms
Space-group type   R-3m
DOS at the Fermi energy   0.91 states/eV/atom


(13)
First-principles (PBE) data for crystalline ScReSeN2 at its relaxed geometry, as listed in the Alexandria database.

Geometry as POSCAR:
```
ScReSeN2
1.0
3.872 0.000 0.000
0.000 3.872 0.000
0.000 0.000 5.251
Sc Re Se N
1 1 1 2
direct
0.000 0.000 0.000 Sc
0.500 0.500 0.500 Re
0.500 0.500 0.000 Se
0.000 0.500 0.500 N
0.500 0.000 0.500 N
```

Results
Magnetization   0.000 μB/atom
Excess energy over the best structure of this formula in the dataset   0 meV/atom
Formation energy without anion corrections   -11.7 kJ per mole of atoms
Space-group type   P4/mmm
DOS at the Fermi energy   0.51 states/eV/atom